The following is a PBE-GGA calculation of a geometry-optimized K2ScMn structure, from Alexandria via LeMat-Bulk.

Structure (POSCAR):
```
K2ScMn
1.0
-1.8945 -3.5103 -5.2090
0.8813 -2.9602 1.6743
-5.1301 -0.6191 2.2830
K Mn Sc
2 1 1
Cartesian
-0.0364 -0.0439 0.0429 K
-2.0879 -1.7457 1.9358 K
-2.0094 -2.6499 -1.6152 Mn
-4.1338 -4.4396 0.3635 Sc
```

Formation energy from the elements = 0.89 eV per atom
Excess energy over the best structure of this formula in the dataset = 0.389 eV per atom
Symmetry = No. 10
Total magnetization = 0.758 μB/atom

=====

The following is a PBE-GGA calculation of a geometry-optimized ScTaAsSe2 structure, from Alexandria via LeMat-Bulk.

Structure (POSCAR):
```
ScTaAsSe2
1.0
4.9834 0.0000 0.0000
0.0000 4.9834 0.0000
0.0000 0.0000 5.0330
Sc As Se Ta
1 1 2 1
Cartesian
0.0000 0.0000 0.0000 Sc
0.0000 0.0000 2.5165 As
0.0000 2.4917 0.0000 Se
2.4917 0.0000 0.0000 Se
2.4917 2.4917 2.5165 Ta
```

Excess energy over the best structure of this formula in the dataset = 0.655 eV per atom
Symmetry = No. 123
Total magnetization = 0.411 μB/atom

=====

> Which of these has the lowest excess energy over the best structure of this formula in the dataset?

K2ScMn

=====

> Which of these has the highest total magnetization?

K2ScMn

=====

> Number 1 is which compound?

K2ScMn

=====

Please write out number 1 again, unchanged.
The following is a PBE-GGA calculation of a geometry-optimized K2ScMn structure, from Alexandria via LeMat-Bulk.

Structure (POSCAR):
```
K2ScMn
1.0
-1.8945 -3.5103 -5.2090
0.8813 -2.9602 1.6743
-5.1301 -0.6191 2.2830
K Mn Sc
2 1 1
Cartesian
-0.0364 -0.0439 0.0429 K
-2.0879 -1.7457 1.9358 K
-2.0094 -2.6499 -1.6152 Mn
-4.1338 -4.4396 0.3635 Sc
```

Formation energy from the elements = 0.89 eV per atom
Excess energy over the best structure of this formula in the dataset = 0.389 eV per atom
Symmetry = No. 10
Total magnetization = 0.758 μB/atom